# GGA-PBE BaMg2Ga, relaxed
data_BaMg2Ga
_chemical_formula_sum 'Ba4 Mg8 Ga4'
_cell_length_a 7.546
_cell_length_b 7.546
_cell_length_c 7.546
_cell_angle_alpha 90.00
_cell_angle_beta 90.00
_cell_angle_gamma 90.00
_space_group_name_H-M_alt 'F m -3 m'
_space_group_IT_number 225
_space_group_name_Hall '-F 4 2 3'
loop_
_atom_site_label
_atom_site_type_symbol
_atom_site_fract_x
_atom_site_fract_y
_atom_site_fract_z
Ba1 Ba 0.000 0.000 0.000
Mg1 Mg 0.250 0.250 0.250
Ga1 Ga 0.000 0.000 0.500
# - DFT total energy: -2.084 eV/atom
# - Theoretical density: 3.95 Mg/m³
# - Energy of formation: -50 meV/atom
# - Density of states at the Fermi level: 6.46 states/eV/cell


# GGA-PBE Ba7Mg2Ga2, relaxed
data_Ba7Mg2Ga2
_chemical_formula_sum 'Ba14 Mg4 Ga4'
_cell_length_a 8.568
_cell_length_b 12.329
_cell_length_c 9.520
_cell_angle_alpha 90.00
_cell_angle_beta 90.00
_cell_angle_gamma 90.00
_space_group_name_H-M_alt 'C m m m'
_space_group_IT_number 65
_space_group_name_Hall '-C 2 2'
loop_
_atom_site_label
_atom_site_type_symbol
_atom_site_fract_x
_atom_site_fract_y
_atom_site_fract_z
Ba1 Ba 0.000 0.000 0.000
Ba2 Ba 0.000 0.500 0.321
Ba3 Ba 0.250 0.250 0.293
Mg1 Mg 0.000 0.354 0.000
Ga1 Ga 0.147 0.000 0.500
# - DFT total energy: -2.046 eV/atom
# - Theoretical density: 3.80 Mg/m³
# - Energy of formation: 18 meV/atom
# - Density of states at the Fermi level: 22.04 states/eV/cell


# GGA-PBE Ba2MgGa, relaxed
data_Ba2MgGa
_chemical_formula_sum 'Ba2 Mg1 Ga1'
_cell_length_a 4.156
_cell_length_b 4.156
_cell_length_c 8.756
_cell_angle_alpha 90.00
_cell_angle_beta 90.00
_cell_angle_gamma 90.00
_space_group_name_H-M_alt 'P 4/m m m'
_space_group_IT_number 123
_space_group_name_Hall '-P 4 2'
loop_
_atom_site_label
_atom_site_type_symbol
_atom_site_fract_x
_atom_site_fract_y
_atom_site_fract_z
Ba1 Ba 0.000 0.000 0.227
Mg1 Mg 0.500 0.500 0.500
Ga1 Ga 0.500 0.500 0.000
# - DFT total energy: -2.305 eV/atom
# - Theoretical density: 4.05 Mg/m³
# - Energy of formation: -188 meV/atom
# - Density of states at the Fermi level: 2.61 states/eV/cell


# GGA-PBE Ba2MgGa3, relaxed
data_Ba2MgGa3
_chemical_formula_sum 'Ba4 Mg2 Ga6'
_cell_length_a 4.439
_cell_length_b 5.075
_cell_length_c 16.444
_cell_angle_alpha 90.00
_cell_angle_beta 90.00
_cell_angle_gamma 90.00
_space_group_name_H-M_alt 'I m m 2'
_space_group_IT_number 44
_space_group_name_Hall 'I 2 -2'
loop_
_atom_site_label
_atom_site_type_symbol
_atom_site_fract_x
_atom_site_fract_y
_atom_site_fract_z
Ba1 Ba 0.000 0.000 0.000
Ba2 Ba 0.000 0.500 0.268
Mg1 Mg 0.000 0.000 0.594
Ga1 Ga 0.000 0.000 0.420
Ga2 Ga 0.000 0.500 0.680
Ga3 Ga 0.000 0.500 0.841
# - DFT total energy: -2.760 eV/atom
# - Theoretical density: 4.56 Mg/m³
# - Energy of formation: -340 meV/atom
# - Density of states at the Fermi level: 10.84 states/eV/cell


# GGA-PBE Ba2MgGa7, relaxed
data_Ba2MgGa7
_chemical_formula_sum 'Ba2 Mg1 Ga7'
_cell_length_a 4.618
_cell_length_b 4.618
_cell_length_c 11.137
_cell_angle_alpha 90.00
_cell_angle_beta 90.00
_cell_angle_gamma 90.00
_space_group_name_H-M_alt 'P -4 m 2'
_space_group_IT_number 115
_space_group_name_Hall 'P -4 -2'
loop_
_atom_site_label
_atom_site_type_symbol
_atom_site_fract_x
_atom_site_fract_y
_atom_site_fract_z
Ba1 Ba 0.000 0.500 0.242
Mg1 Mg 0.000 0.000 0.500
Ga1 Ga 0.000 0.000 0.000
Ga2 Ga 0.000 0.500 0.636
Ga3 Ga 0.000 0.500 0.874
Ga4 Ga 0.500 0.500 0.000
Ga5 Ga 0.500 0.500 0.500
# - DFT total energy: -3.085 eV/atom
# - Theoretical density: 5.50 Mg/m³
# - Energy of formation: -422 meV/atom
# - Density of states at the Fermi level: 2.68 states/eV/cell


# GGA-PBE BaMgGa3, relaxed
data_BaMgGa3
_chemical_formula_sum 'Ba4 Mg4 Ga12'
_cell_length_a 4.722
_cell_length_b 25.178
_cell_length_c 4.386
_cell_angle_alpha 90.00
_cell_angle_beta 90.00
_cell_angle_gamma 90.00
_space_group_name_H-M_alt 'C m c m'
_space_group_IT_number 63
_space_group_name_Hall '-C 2c 2'
loop_
_atom_site_label
_atom_site_type_symbol
_atom_site_fract_x
_atom_site_fract_y
_atom_site_fract_z
Ba1 Ba 0.000 0.080 0.250
Mg1 Mg 0.000 0.205 0.750
Ga1 Ga 0.000 0.314 0.750
Ga2 Ga 0.000 0.368 0.250
Ga3 Ga 0.000 0.474 0.250
# - DFT total energy: -2.822 eV/atom
# - Theoretical density: 4.72 Mg/m³
# - Energy of formation: -302 meV/atom
# - Density of states at the Fermi level: 10.72 states/eV/cell


# GGA-PBE Ba3MgGa, relaxed
data_Ba3MgGa
_chemical_formula_sum 'Ba12 Mg4 Ga4'
_cell_length_a 6.015
_cell_length_b 23.518
_cell_length_c 6.012
_cell_angle_alpha 90.00
_cell_angle_beta 90.00
_cell_angle_gamma 90.00
_space_group_name_H-M_alt 'C m c m'
_space_group_IT_number 63
_space_group_name_Hall '-C 2c 2'
loop_
_atom_site_label
_atom_site_type_symbol
_atom_site_fract_x
_atom_site_fract_y
_atom_site_fract_z
Ba1 Ba 0.000 0.076 0.250
Ba2 Ba 0.000 0.249 0.250
Ba3 Ba 0.000 0.423 0.250
Mg1 Mg 0.000 0.338 0.750
Ga1 Ga 0.000 0.159 0.750
# - DFT total energy: -2.236 eV/atom
# - Theoretical density: 3.95 Mg/m³
# - Energy of formation: -158 meV/atom
# - Density of states at the Fermi level: 14.30 states/eV/cell


# GGA-PBE BaMg4Ga, relaxed
data_BaMg4Ga
_chemical_formula_sum 'Ba2 Mg8 Ga2'
_cell_length_a 8.676
_cell_length_b 4.597
_cell_length_c 8.240
_cell_angle_alpha 90.00
_cell_angle_beta 90.00
_cell_angle_gamma 90.00
_space_group_name_H-M_alt 'P m m a'
_space_group_IT_number 51
_space_group_name_Hall '-P 2a 2a'
loop_
_atom_site_label
_atom_site_type_symbol
_atom_site_fract_x
_atom_site_fract_y
_atom_site_fract_z
Ba1 Ba 0.250 0.000 0.112
Mg1 Mg 0.000 0.000 0.500
Mg2 Mg 0.064 0.500 0.789
Mg3 Mg 0.250 0.500 0.457
Ga1 Ga 0.250 0.000 0.702
# - DFT total energy: -2.041 eV/atom
# - Theoretical density: 3.07 Mg/m³
# - Energy of formation: -153 meV/atom
# - Density of states at the Fermi level: 5.93 states/eV/cell